The following is a PBE calculation of a relaxed BaReIr crystal, from Alexandria via LeMat-Bulk.

The structure belongs to space group P3m1 (No. 156); the cell edges are 4.1730, 4.1730 and 5.3631 Å and the angles 90.00°, 90.00° and 120.00°. Symmetry generates all atoms from Ba at (0.0000, 0.0000, 0.0000), Re at (0.3333, 0.6667, 0.5282) and Ir at (0.6667, 0.3333, 0.4674).

For the formation energy, the calculation gives 261 meV per atom. For the magnetization, the calculation gives 0.000 μB per formula unit.

The following is a PBE calculation of a relaxed BaReIr2 crystal, from Alexandria via LeMat-Bulk.

The structure belongs to space group P4/mmm (No. 123); the cell edges are 5.144, 5.144 and 2.914 Å and the angles 90.00°, 90.00° and 90.00°. Symmetry generates all atoms from Ba at (0.000, 0.000, 0.000), Re at (0.500, 0.500, 0.000) and Ir at (0.000, 0.500, 0.500).

For the formation energy, the calculation gives 988 meV per atom. For the magnetization, the calculation gives 0.002 μB per formula unit.

The following is a PBE calculation of a relaxed BaRe2Ir crystal, from Alexandria via LeMat-Bulk.

The structure belongs to space group Pmmm (No. 47); the cell edges are 2.884, 3.851 and 7.619 Å and the angles 90.00°, 90.00° and 90.00°. Symmetry generates all atoms from Ba at (0.000, 0.000, 0.000), Re at (0.500, 0.500, 0.339) and Ir at (0.000, 0.000, 0.500).

For the formation energy, the calculation gives 790 meV per atom. For the magnetization, the calculation gives 0.001 μB per formula unit.

The following is a PBE calculation of a relaxed BaReIr crystal, from Alexandria via LeMat-Bulk.

The structure belongs to space group P3m1 (No. 156); the cell edges are 3.0029, 3.0029 and 8.0005 Å and the angles 90.00°, 90.00° and 120.00°. Symmetry generates all atoms from Ba at (0.0000, 0.0000, 0.0000), Re at (0.3333, 0.6667, 0.6152) and Ir at (0.6667, 0.3333, 0.3705).

For the formation energy, the calculation gives 1094 meV per atom. For the magnetization, the calculation gives 0.000 μB per formula unit.

The following is a PBE calculation of a relaxed BaRe2Ir crystal, from Alexandria via LeMat-Bulk.

The structure belongs to space group Cmmm (No. 65); the cell edges are 5.853, 9.317 and 2.784 Å and the angles 90.00°, 90.00° and 90.00°. Symmetry generates all atoms from Ba at (0.000, 0.000, 0.000), Re at (0.250, 0.250, 0.500) and Ir at (0.000, 0.500, 0.000).

For the formation energy, the calculation gives 1501 meV per atom. For the magnetization, the calculation gives 0.001 μB per formula unit.

The following is a PBE calculation of a relaxed BaReIr2 crystal, from Alexandria via LeMat-Bulk.

The structure belongs to space group Imm2 (No. 44); the cell edges are 2.895, 5.107 and 10.626 Å and the angles 90.00°, 90.00° and 90.00°. Symmetry generates all atoms from Ba at (0.000, 0.000, 0.000), Re at (0.000, 0.500, 0.217), Ir at (0.000, 0.000, 0.514) and Ir at (0.000, 0.500, 0.782).

For the formation energy, the calculation gives 787 meV per atom. For the magnetization, the calculation gives 0.000 μB per formula unit.

The following is a PBE calculation of a relaxed Ba2SrReIr crystal, from Alexandria via LeMat-Bulk.

The structure belongs to space group P4/mmm (No. 123); the cell edges are 6.218, 6.218 and 4.740 Å and the angles 90.00°, 90.00° and 90.00°. Symmetry generates all atoms from Ba at (0.000, 0.500, 0.000), Sr at (0.000, 0.000, 0.000), Re at (0.000, 0.000, 0.500) and Ir at (0.500, 0.500, 0.500).

For the formation energy, the calculation gives 2082 meV per atom. For the magnetization, the calculation gives 0.850 μB per formula unit.

The following is a PBE calculation of a relaxed BaTi2ReIr crystal, from Alexandria via LeMat-Bulk.

The structure belongs to space group P4/mmm (No. 123); the cell edges are 4.728, 4.728 and 5.762 Å and the angles 90.00°, 90.00° and 90.00°. Symmetry generates all atoms from Ba at (0.000, 0.000, 0.000), Ti at (0.000, 0.500, 0.500), Re at (0.500, 0.500, 0.000) and Ir at (0.000, 0.000, 0.500).

For the formation energy, the calculation gives 1344 meV per atom. For the magnetization, the calculation gives 0.000 μB per formula unit.

The following is a PBE calculation of a relaxed Ba2IrRh crystal, from Alexandria via LeMat-Bulk.

The structure belongs to space group I-4m2 (No. 119); the cell edges are 4.498, 4.498 and 10.427 Å and the angles 90.00°, 90.00° and 90.00°. Symmetry generates all atoms from Ba at (0.000, 0.000, 0.000), Ba at (0.000, 0.500, 0.250), Ir at (0.000, 0.500, 0.750) and Rh at (0.000, 0.000, 0.500).

For the formation energy, the calculation gives 392 meV per atom. For the magnetization, the calculation gives 0.000 μB per formula unit.

The following is a PBE calculation of a relaxed BaIrRh3 crystal, from Alexandria via LeMat-Bulk.

The structure belongs to space group Pm-3m (No. 221); the cell edges are 4.956, 4.956 and 4.956 Å and the angles 90.00°, 90.00° and 90.00°. Symmetry generates all atoms from Ba at (0.000, 0.000, 0.000), Ir at (0.500, 0.500, 0.500) and Rh at (0.000, 0.000, 0.500).

For the formation energy, the calculation gives 2426 meV per atom. For the magnetization, the calculation gives 2.742 μB per formula unit.

The following is a PBE calculation of a relaxed Ba2IrRh crystal, from Alexandria via LeMat-Bulk.

The structure belongs to space group I-42d (No. 122); the cell edges are 8.203, 8.203 and 6.570 Å and the angles 90.00°, 90.00° and 90.00°. Symmetry generates all atoms from Ba at (0.244, 0.750, 0.125), Ir at (0.000, 0.000, 0.500) and Rh at (0.000, 0.000, 0.000).

For the formation energy, the calculation gives 471 meV per atom. For the magnetization, the calculation gives 0.000 μB per formula unit.

The following is a PBE calculation of a relaxed BaIr3Rh crystal, from Alexandria via LeMat-Bulk.

The structure belongs to space group Pm-3m (No. 221); the cell edges are 5.040, 5.040 and 5.040 Å and the angles 90.00°, 90.00° and 90.00°. Symmetry generates all atoms from Ba at (0.000, 0.000, 0.000), Ir at (0.000, 0.000, 0.500) and Rh at (0.500, 0.500, 0.500).

For the formation energy, the calculation gives 3115 meV per atom. For the magnetization, the calculation gives 3.303 μB per formula unit.